[1]
First-principles (PBE) data for an optimized crystal structure of NaCa3F, as listed in the Alexandria database.

Calculated values
Excess energy over the best structure of this formula in the dataset = 922 meV/atom
E_form (uncorrected) = 0.086 eV per atom
SG = Pm-3m
Electronic total energy = -1.75 eV/atom
DOS(E_F) = 3.58 states/eV/cell

CIF file:
```
data_NaCa3F
_chemical_formula_sum 'Na1 Ca3 F1'
_symmetry_space_group_name_H-M 'P 1'
_symmetry_Int_Tables_number 1
_cell_length_a 6.5284
_cell_length_b 6.5284
_cell_length_c 6.5284
_cell_angle_alpha 90.00
_cell_angle_beta 90.00
_cell_angle_gamma 90.00
loop_
_symmetry_equiv_pos_as_xyz
'x,y,z'
loop_
_atom_site_label
_atom_site_fract_x
_atom_site_fract_y
_atom_site_fract_z
Na1 0.0000 0.0000 0.0000
Ca1 0.0000 0.0000 0.5000
Ca2 0.0000 0.5000 0.0000
Ca3 0.5000 0.0000 0.0000
F1 0.5000 0.5000 0.5000
```


[2]
First-principles (PBE) data for an optimized crystal structure of Cu2MoSe, as listed in the Alexandria database.

Calculated values
E_form (uncorrected) = 0.392 eV per atom
SG = Cmm2
Electronic total energy = -5.23 eV/atom
DOS(E_F) = 4.93 states/eV/cell

CIF file:
```
data_Cu2MoSe
_chemical_formula_sum 'Cu4 Mo2 Se2'
_symmetry_space_group_name_H-M 'P 1'
_symmetry_Int_Tables_number 1
_cell_length_a 3.3113
_cell_length_b 4.4577
_cell_length_c 8.7518
_cell_angle_alpha 90.00
_cell_angle_beta 90.00
_cell_angle_gamma 90.00
loop_
_symmetry_equiv_pos_as_xyz
'x,y,z'
loop_
_atom_site_label
_atom_site_fract_x
_atom_site_fract_y
_atom_site_fract_z
Cu1 0.0000 0.0000 0.0000
Cu2 0.0000 0.5000 0.2048
Cu3 0.5000 0.0000 0.2048
Cu4 0.5000 0.5000 0.0000
Mo1 0.0000 0.5000 0.7618
Mo2 0.5000 0.0000 0.7618
Se1 0.0000 0.0000 0.5351
Se2 0.5000 0.5000 0.5351
```


[3]
First-principles (PBE) data for an optimized crystal structure of SmTmGaGe, as listed in the Alexandria database.

Calculated values
Excess energy over the best structure of this formula in the dataset = 0 meV/atom
SG = Amm2
ΔE_f = -0.767 eV/atom
Electronic total energy = -4.98 eV/atom
DOS(E_F) = 6.33 states/eV/cell

CIF file:
```
data_SmTmGaGe
_chemical_formula_sum 'Sm2 Tm2 Ga2 Ge2'
_symmetry_space_group_name_H-M 'P 1'
_symmetry_Int_Tables_number 1
_cell_length_a 4.0185
_cell_length_b 4.3419
_cell_length_c 10.8538
_cell_angle_alpha 90.00
_cell_angle_beta 90.00
_cell_angle_gamma 90.00
loop_
_symmetry_equiv_pos_as_xyz
'x,y,z'
loop_
_atom_site_label
_atom_site_fract_x
_atom_site_fract_y
_atom_site_fract_z
Sm1 0.0000 0.0000 0.0000
Sm2 0.0000 0.5000 0.5000
Tm1 0.5000 0.0000 0.2791
Tm2 0.5000 0.5000 0.7791
Ga1 0.5000 0.0000 0.5633
Ga2 0.5000 0.5000 0.0633
Ge1 0.0000 0.0000 0.7206
Ge2 0.0000 0.5000 0.2206
```


[4]
First-principles (PBE) data for an optimized crystal structure of Li2CaAs2Pt, as listed in the Alexandria database.

Calculated values
SG = I4/mmm
ΔE_f = 0.104 eV/atom
Electronic total energy = -3.42 eV/atom
DOS(E_F) = 9.48 states/eV/cell

CIF file:
```
data_Li2CaAs2Pt
_chemical_formula_sum 'Li4 Ca2 As4 Pt2'
_symmetry_space_group_name_H-M 'P 1'
_symmetry_Int_Tables_number 1
_cell_length_a 3.8311
_cell_length_b 3.8311
_cell_length_c 19.3880
_cell_angle_alpha 90.00
_cell_angle_beta 90.00
_cell_angle_gamma 90.00
loop_
_symmetry_equiv_pos_as_xyz
'x,y,z'
loop_
_atom_site_label
_atom_site_fract_x
_atom_site_fract_y
_atom_site_fract_z
Li1 0.0000 0.5000 0.2500
Li2 0.0000 0.5000 0.7500
Li3 0.5000 0.0000 0.2500
Li4 0.5000 0.0000 0.7500
Ca1 0.0000 0.0000 0.0000
Ca2 0.5000 0.5000 0.5000
As1 0.0000 0.0000 0.1509
As2 0.0000 0.0000 0.8491
As3 0.5000 0.5000 0.3491
As4 0.5000 0.5000 0.6509
Pt1 0.0000 0.0000 0.5000
Pt2 0.5000 0.5000 0.0000
```


[5]
First-principles (PBE) data for an optimized crystal structure of Tm12TlPb3, as listed in the Alexandria database.

Calculated values
SG = P4/mmm
ΔE_f = -0.222 eV/atom
Electronic total energy = -4.42 eV/atom
DOS(E_F) = 19.87 states/eV/cell

CIF file:
```
data_Tm12TlPb3
_chemical_formula_sum 'Tm12 Tl1 Pb3'
_symmetry_space_group_name_H-M 'P 1'
_symmetry_Int_Tables_number 1
_cell_length_a 4.7988
_cell_length_b 4.7988
_cell_length_c 19.1695
_cell_angle_alpha 90.00
_cell_angle_beta 90.00
_cell_angle_gamma 90.00
loop_
_symmetry_equiv_pos_as_xyz
'x,y,z'
loop_
_atom_site_label
_atom_site_fract_x
_atom_site_fract_y
_atom_site_fract_z
Tm1 0.0000 0.0000 0.0000
Tm2 0.0000 0.0000 0.2498
Tm3 0.0000 0.0000 0.5000
Tm4 0.0000 0.0000 0.7502
Tm5 0.0000 0.5000 0.1244
Tm6 0.0000 0.5000 0.3748
Tm7 0.0000 0.5000 0.6252
Tm8 0.0000 0.5000 0.8756
Tm9 0.5000 0.0000 0.1244
Tm10 0.5000 0.0000 0.3748
Tm11 0.5000 0.0000 0.6252
Tm12 0.5000 0.0000 0.8756
Tl1 0.5000 0.5000 0.0000
Pb1 0.5000 0.5000 0.2489
Pb2 0.5000 0.5000 0.5000
Pb3 0.5000 0.5000 0.7511
```


[6]
First-principles (PBE) data for an optimized crystal structure of Tb6PrNd8, as listed in the Alexandria database.

Calculated values
SG = R-3
ΔE_f = 0.123 eV/atom
Electronic total energy = -4.59 eV/atom
DOS(E_F) = 22.34 states/eV/cell

CIF file:
```
data_Tb6PrNd8
_chemical_formula_sum 'Tb6 Pr1 Nd8'
_symmetry_space_group_name_H-M 'P 1'
_symmetry_Int_Tables_number 1
_cell_length_a 8.8003
_cell_length_b 8.8003
_cell_length_c 8.8003
_cell_angle_alpha 63.04
_cell_angle_beta 63.04
_cell_angle_gamma 63.04
loop_
_symmetry_equiv_pos_as_xyz
'x,y,z'
loop_
_atom_site_label
_atom_site_fract_x
_atom_site_fract_y
_atom_site_fract_z
Tb1 0.0366 0.5973 0.7478
Tb2 0.2522 0.9634 0.4027
Tb3 0.4027 0.2522 0.9634
Tb4 0.5973 0.7478 0.0366
Tb5 0.7478 0.0366 0.5973
Tb6 0.9634 0.4027 0.2522
Pr1 0.5000 0.5000 0.5000
Nd1 0.0777 0.0777 0.0777
Nd2 0.2169 0.6131 0.2498
Nd3 0.2498 0.2169 0.6131
Nd4 0.3869 0.7502 0.7831
Nd5 0.6131 0.2498 0.2169
Nd6 0.7502 0.7831 0.3869
Nd7 0.7831 0.3869 0.7502
Nd8 0.9223 0.9223 0.9223
```


[7]
First-principles (PBE) data for an optimized crystal structure of CdTcRu2, as listed in the Alexandria database.

Calculated values
SG = Cmm2
ΔE_f = 0.482 eV/atom
Electronic total energy = -6.98 eV/atom
DOS(E_F) = 10.18 states/eV/cell

CIF file:
```
data_CdTcRu2
_chemical_formula_sum 'Cd2 Tc2 Ru4'
_symmetry_space_group_name_H-M 'P 1'
_symmetry_Int_Tables_number 1
_cell_length_a 2.8591
_cell_length_b 4.6667
_cell_length_c 9.4381
_cell_angle_alpha 90.00
_cell_angle_beta 90.00
_cell_angle_gamma 90.00
loop_
_symmetry_equiv_pos_as_xyz
'x,y,z'
loop_
_atom_site_label
_atom_site_fract_x
_atom_site_fract_y
_atom_site_fract_z
Cd1 0.0000 0.0000 0.0000
Cd2 0.5000 0.5000 0.0000
Tc1 0.0000 0.5000 0.2715
Tc2 0.5000 0.0000 0.2715
Ru1 0.0000 0.0000 0.5013
Ru2 0.0000 0.5000 0.7376
Ru3 0.5000 0.0000 0.7376
Ru4 0.5000 0.5000 0.5013
```


[8]
First-principles (PBE) data for an optimized crystal structure of La3ReAg, as listed in the Alexandria database.

Calculated values
Excess energy over the best structure of this formula in the dataset = 0 meV/atom
SG = Pm-3m
ΔE_f = 0.194 eV/atom
Electronic total energy = -5.82 eV/atom
DOS(E_F) = 6.95 states/eV/cell

CIF file:
```
data_La3ReAg
_chemical_formula_sum 'La3 Re1 Ag1'
_symmetry_space_group_name_H-M 'P 1'
_symmetry_Int_Tables_number 1
_cell_length_a 5.5449
_cell_length_b 5.5449
_cell_length_c 5.5449
_cell_angle_alpha 90.00
_cell_angle_beta 90.00
_cell_angle_gamma 90.00
loop_
_symmetry_equiv_pos_as_xyz
'x,y,z'
loop_
_atom_site_label
_atom_site_fract_x
_atom_site_fract_y
_atom_site_fract_z
La1 0.0000 0.0000 0.5000
La2 0.0000 0.5000 0.0000
La3 0.5000 0.0000 0.0000
Re1 0.0000 0.0000 0.0000
Ag1 0.5000 0.5000 0.5000
```


[9]
First-principles (PBE) data for an optimized crystal structure of NdErTh2N4, as listed in the Alexandria database.

Calculated values
E_form (uncorrected) = -1.561 eV per atom
SG = P2/m
Electronic total energy = -8.74 eV/atom
DOS(E_F) = 2.82 states/eV/cell

CIF file:
```
data_NdErTh2N4
_chemical_formula_sum 'Nd1 Er1 Th2 N4'
_symmetry_space_group_name_H-M 'P 1'
_symmetry_Int_Tables_number 1
_cell_length_a 6.2135
_cell_length_b 3.6163
_cell_length_c 6.2758
_cell_angle_alpha 90.00
_cell_angle_beta 109.54
_cell_angle_gamma 90.00
loop_
_symmetry_equiv_pos_as_xyz
'x,y,z'
loop_
_atom_site_label
_atom_site_fract_x
_atom_site_fract_y
_atom_site_fract_z
Nd1 0.0000 0.0000 0.0000
Er1 0.0000 0.5000 0.5000
Th1 0.5000 0.0000 0.5000
Th2 0.5000 0.5000 0.0000
N1 0.2494 0.0000 0.7414
N2 0.2567 0.5000 0.2609
N3 0.7433 0.5000 0.7391
N4 0.7506 0.0000 0.2586
```


[10]
First-principles (PBE) data for an optimized crystal structure of IF6, as listed in the Alexandria database.

Calculated values
E_form (uncorrected) = -1.459 eV per atom
SG = Pnma
Electronic total energy = -3.28 eV/atom
DOS(E_F) = 10.63 states/eV/cell

CIF file:
```
data_IF6
_chemical_formula_sum 'I4 F24'
_symmetry_space_group_name_H-M 'P 1'
_symmetry_Int_Tables_number 1
_cell_length_a 10.1766
_cell_length_b 9.1979
_cell_length_c 5.3397
_cell_angle_alpha 90.00
_cell_angle_beta 90.00
_cell_angle_gamma 90.00
loop_
_symmetry_equiv_pos_as_xyz
'x,y,z'
loop_
_atom_site_label
_atom_site_fract_x
_atom_site_fract_y
_atom_site_fract_z
I1 0.1294 0.2500 0.0896
I2 0.3706 0.7500 0.5896
I3 0.6294 0.2500 0.4104
I4 0.8706 0.7500 0.9104
F1 0.0143 0.2500 0.8044
F2 0.0238 0.1024 0.2454
F3 0.0238 0.3976 0.2454
F4 0.2356 0.1025 0.9351
F5 0.2356 0.3975 0.9351
F6 0.2444 0.2500 0.3754
F7 0.2556 0.7500 0.8754
F8 0.2644 0.6025 0.4351
F9 0.2644 0.8975 0.4351
F10 0.4762 0.6024 0.7454
F11 0.4762 0.8976 0.7454
F12 0.4857 0.7500 0.3044
F13 0.5143 0.2500 0.6956
F14 0.5238 0.1024 0.2546
F15 0.5238 0.3976 0.2546
F16 0.7356 0.1025 0.5649
F17 0.7356 0.3975 0.5649
F18 0.7444 0.2500 0.1246
F19 0.7556 0.7500 0.6246
F20 0.7644 0.6025 0.0649
F21 0.7644 0.8975 0.0649
F22 0.9762 0.6024 0.7546
F23 0.9762 0.8976 0.7546
F24 0.9857 0.7500 0.1956
```


Q: Look up the electronic total energy of the tenth one.
A: -3.28 eV/atom